(1)
Material: Er5Tl2Fe2
Method: DFT, PBE-GGA
State: relaxed Values from VASP.

Values from the calculation:
Density of states at the Fermi level (states/eV/f.u.): 8.69
Total energy (eV for the cell shown): -91.85

Cell and atoms, written as Quantum ESPRESSO input:
```
&SYSTEM
  ibrav = 0, nat = 18, ntyp = 3
/
ATOMIC_SPECIES
Tl 204.38 Tl.upf
Er 167.26 Er.upf
Fe 55.84 Fe.upf
ATOMIC_POSITIONS angstrom
Tl 5.470 0.000 6.082
Tl 2.078 3.616 4.851
Tl 5.224 3.616 6.759
Tl 1.832 0.000 5.528
Er 4.880 2.315 3.841
Er 3.392 3.616 1.231
Er 0.576 4.916 2.279
Er 6.726 2.315 9.331
Er 3.968 5.931 3.511
Er 1.488 1.300 2.610
Er 3.334 1.300 8.100
Er 5.814 5.931 9.000
Er 0.000 0.000 0.000
Er 2.422 4.916 7.769
Fe 2.672 6.452 0.970
Fe 4.112 0.780 1.493
Fe 0.720 2.836 0.261
Fe 6.064 4.396 2.201
CELL_PARAMETERS angstrom
6.784 0.000 2.462
0.000 7.232 0.000
0.518 0.000 9.148
```


(2)
Material: Er3TlFe
Method: DFT, PBE-GGA
State: relaxed Values from VASP.

Values from the calculation:
Density of states at the Fermi level (states/eV/f.u.): 4.88
Offset from the most stable computed form (eV per formula unit): 0.00
Total energy (eV for the cell shown): -50.83

Cell and atoms, written as Quantum ESPRESSO input:
```
&SYSTEM
  ibrav = 0, nat = 10, ntyp = 3
/
ATOMIC_SPECIES
Er 167.26 Er.upf
Tl 204.38 Tl.upf
Fe 55.84 Fe.upf
ATOMIC_POSITIONS angstrom
Er -8.110 0.833 -0.561
Er -5.408 2.165 4.859
Er -3.861 1.305 -3.653
Er -1.159 2.636 1.767
Er -5.256 2.869 -0.987
Er -4.013 0.600 2.193
Tl -2.539 0.975 -0.645
Tl -6.730 2.494 1.850
Fe -2.681 2.304 4.233
Fe -6.588 1.165 -3.027
CELL_PARAMETERS angstrom
-0.090 3.778 0.453
-5.090 0.690 -6.762
-4.089 -0.998 7.515
```


(3)
Material: Er6TlFe2
Method: DFT, PBE-GGA
State: relaxed Values from VASP.

Values from the calculation:
Density of states at the Fermi level (states/eV/f.u.): 8.88
Total energy (eV for the cell shown): -96.09

Cell and atoms, written as Quantum ESPRESSO input:
```
&SYSTEM
  ibrav = 0, nat = 18, ntyp = 3
/
ATOMIC_SPECIES
Fe 55.84 Fe.upf
Er 167.26 Er.upf
Tl 204.38 Tl.upf
ATOMIC_POSITIONS angstrom
Fe 2.502 -3.504 2.174
Fe -4.041 -1.319 4.463
Fe -4.982 -2.988 0.918
Fe -3.133 -1.879 0.577
Er 1.501 -1.382 3.649
Er 0.188 -5.968 -1.019
Er -3.546 1.506 4.747
Er 2.007 -6.328 1.890
Er -1.749 -0.401 2.502
Er -3.040 -3.440 2.988
Er -3.056 -4.510 -0.576
Er -1.727 1.145 7.656
Er 0.210 -4.422 4.135
Er -0.078 -3.143 0.943
Er 1.517 -0.313 7.213
Er -1.461 -1.679 5.693
Tl 0.020 1.427 4.755
Tl 0.000 0.000 0.000
CELL_PARAMETERS angstrom
-1.580 -7.676 -2.873
6.575 0.044 5.142
-6.534 2.809 4.368
```